Entry 1:
Here is a geometry-optimized BaSbClO3 structure from Alexandria. Energies are from PBE.

Cell and atoms, written as POSCAR:
```
BaSbClO3
1.0
2.8482 -10.4535 0.0000
2.8482 10.4535 0.0000
-0.1076 0.0000 5.2978
Ba Sb Cl O
2 2 2 6
Direct
0.1667 0.8333 0.7500
0.8333 0.1667 0.2500
0.0336 0.9664 0.2500
0.9664 0.0336 0.7500
0.2763 0.7237 0.2500
0.7237 0.2763 0.7500
0.1241 0.8759 0.2500
0.1672 0.2258 0.4349
0.2258 0.1672 0.9349
0.7742 0.8328 0.0651
0.8328 0.7742 0.5651
0.8759 0.1241 0.7500
```

Output
**Uncorrected formation energy**: -1829 meV per atom
**Total magnetization**: 0.00 μB/cell

---

Entry 2:
Here is a geometry-optimized Tb2SmHo4Th structure from Alexandria. Energies are from PBE.

Cell and atoms, written as POSCAR:
```
Tb2SmHo4Th
1.0
5.0389 0.0000 0.0000
0.0000 5.0548 0.0000
0.0000 0.0000 9.9753
Tb Sm Ho Th
2 1 4 1
Direct
0.0000 0.0000 0.0000
0.5000 0.5000 0.5000
0.0000 0.0000 0.5000
0.0000 0.5000 0.2467
0.0000 0.5000 0.7533
0.5000 0.0000 0.2463
0.5000 0.0000 0.7537
0.5000 0.5000 0.0000
```

Output
**Total magnetization**: 0.00 μB/cell
**Energy of formation**: 0.029 eV/atom

---

Entry 3:
Here is a geometry-optimized Np2FeGe4Pt3 structure from Alexandria. Energies are from PBE.

Cell and atoms, written as POSCAR:
```
Np2FeGe4Pt3
1.0
4.2231 0.0000 0.0000
0.0000 4.2231 0.0000
0.0000 0.0000 10.3757
Np Fe Ge Pt
2 1 4 3
Direct
0.0000 0.5000 0.2456
0.5000 0.0000 0.7544
0.5000 0.5000 0.0000
0.0000 0.0000 0.5000
0.0000 0.5000 0.8718
0.5000 0.0000 0.1282
0.5000 0.5000 0.5000
0.0000 0.0000 0.0000
0.0000 0.5000 0.6341
0.5000 0.0000 0.3659
```

Output
**Total magnetization**: 9.98 μB/cell
**Energy of formation**: -0.433 eV/atom

---

Entry 4:
Here is a geometry-optimized NpPd3Au2 structure from Alexandria. Energies are from PBE.

Cell and atoms, written as POSCAR:
```
NpPd3Au2
1.0
4.2560 0.0000 0.0000
0.0000 12.7683 0.0000
0.0000 0.0000 3.9839
Np Pd Au
2 6 4
Direct
0.0000 0.0000 0.0000
0.5000 0.5000 0.0000
0.0000 0.1663 0.5000
0.0000 0.5000 0.5000
0.0000 0.8337 0.5000
0.5000 0.0000 0.5000
0.5000 0.3337 0.5000
0.5000 0.6663 0.5000
0.0000 0.3312 0.0000
0.0000 0.6688 0.0000
0.5000 0.1688 0.0000
0.5000 0.8312 0.0000
```

Output
**Total magnetization**: 7.28 μB/cell
**Energy of formation**: -0.278 eV/atom

---

Entry 5:
Here is a geometry-optimized Sm8Sc2In structure from Alexandria. Energies are from PBE.

Cell and atoms, written as POSCAR:
```
Sm8Sc2In
1.0
8.9333 -2.4791 0.0000
8.9333 2.4791 0.0000
-2.1963 0.0000 7.6185
Sm Sc In
8 2 1
Direct
0.0468 0.0468 0.2265
0.1382 0.1382 0.6859
0.3191 0.3191 0.5892
0.4063 0.4063 0.0537
0.5937 0.5937 0.9463
0.6809 0.6809 0.4108
0.8618 0.8618 0.3141
0.9532 0.9532 0.7735
0.2251 0.2251 0.1312
0.7749 0.7749 0.8688
0.5000 0.5000 0.5000
```

Output
**Total magnetization**: 0.00 μB/cell
**Energy of formation**: -0.055 eV/atom

---

Entry 6:
Here is a geometry-optimized NdCd12Au6 structure from Alexandria. Energies are from PBE.

Cell and atoms, written as POSCAR:
```
NdCd12Au6
1.0
6.3182 3.6478 3.1284
-6.3182 3.6478 3.1284
0.0000 -7.2956 3.1284
Nd Cd Au
1 12 6
Direct
0.0000 0.0000 0.0000
0.1133 0.5000 0.8867
0.1133 0.8867 0.5000
0.1400 0.3876 0.3876
0.3876 0.1400 0.3876
0.3876 0.3876 0.1400
0.5000 0.1133 0.8867
0.5000 0.8867 0.1133
0.6124 0.6124 0.8600
0.6124 0.8600 0.6124
0.8600 0.6124 0.6124
0.8867 0.1133 0.5000
0.8867 0.5000 0.1133
0.2839 0.2839 0.7083
0.2839 0.7083 0.2839
0.2917 0.7161 0.7161
0.7083 0.2839 0.2839
0.7161 0.2917 0.7161
0.7161 0.7161 0.2917
```

Output
**Total magnetization**: 0.00 μB/cell
**Energy of formation**: -0.161 eV/atom

---

Entry 7:
Here is a geometry-optimized Li2CaCu4 structure from Alexandria. Energies are from PBE.

Cell and atoms, written as POSCAR:
```
Li2CaCu4
1.0
8.2660 0.0000 0.0000
0.0000 6.7314 0.0000
-2.7981 0.0000 3.9273
Li Ca Cu
4 2 8
Direct
0.9996 0.0000 0.2496
0.0004 0.0000 0.7504
0.4996 0.5000 0.2496
0.5004 0.5000 0.7504
0.0000 0.5000 0.0000
0.5000 0.0000 0.0000
0.1903 0.3096 0.6901
0.1903 0.6904 0.6901
0.3097 0.1904 0.3099
0.3097 0.8096 0.3099
0.6903 0.1904 0.6901
0.6903 0.8096 0.6901
0.8097 0.3096 0.3099
0.8097 0.6904 0.3099
```

Output
**Total magnetization**: 0.00 μB/cell
**Energy of formation**: -0.049 eV/atom

---

Entry 8:
Here is a geometry-optimized Sm8SiRh3Br4 structure from Alexandria. Energies are from PBE.

Cell and atoms, written as POSCAR:
```
Sm8SiRh3Br4
1.0
4.1467 2.3941 7.6068
-4.1467 2.3941 7.6068
0.0000 -4.7882 7.6068
Sm Si Rh Br
8 1 3 4
Direct
0.2212 0.7376 0.7376
0.2333 0.2333 0.2333
0.2624 0.2624 0.7788
0.2624 0.7788 0.2624
0.7376 0.2212 0.7376
0.7376 0.7376 0.2212
0.7667 0.7667 0.7667
0.7788 0.2624 0.2624
0.5000 0.5000 0.5000
0.0000 0.0000 0.5000
0.0000 0.5000 0.0000
0.5000 0.0000 0.0000
0.0000 0.0000 0.0000
0.0000 0.5000 0.5000
0.5000 0.0000 0.5000
0.5000 0.5000 0.0000
```

Output
**Uncorrected formation energy**: -1019 meV per atom
**Total magnetization**: 0.00 μB/cell

---

Entry 9:
Here is a geometry-optimized FeNiMo structure from Alexandria. Energies are from PBE.

Cell and atoms, written as POSCAR:
```
FeNiMo
1.0
4.2483 0.0000 0.0000
0.0000 7.8551 0.0000
0.0000 0.0000 4.5035
Fe Ni Mo
4 4 4
Direct
0.0000 0.1739 0.0000
0.0000 0.3261 0.5000
0.0000 0.6739 0.5000
0.0000 0.8261 0.0000
0.5000 0.1726 0.3397
0.5000 0.3274 0.8397
0.5000 0.6726 0.8397
0.5000 0.8274 0.3397
0.0000 0.0000 0.4763
0.0000 0.5000 0.9763
0.5000 0.0000 0.8602
0.5000 0.5000 0.3602
```

Output
**Total magnetization**: 6.52 μB/cell
**Energy of formation**: 0.031 eV/atom

---

Entry 10:
Here is a geometry-optimized K3RbAu structure from Alexandria. Energies are from PBE.

Cell and atoms, written as POSCAR:
```
K3RbAu
1.0
4.6398 0.0000 0.0000
-0.0407 8.3584 0.0000
-2.2911 -1.7590 14.8015
K Rb Au
6 2 2
Direct
0.0623 0.3469 0.1164
0.1900 0.5809 0.3725
0.1970 0.1147 0.3935
0.8030 0.8853 0.6065
0.8100 0.4191 0.6275
0.9377 0.6531 0.8836
0.4194 0.1170 0.8444
0.5806 0.8830 0.1556
0.3591 0.6998 0.7229
0.6409 0.3002 0.2771
```

Output
**Total magnetization**: 0.00 μB/cell
**Energy of formation**: -0.124 eV/atom

---

Entry 11:
Here is a geometry-optimized CaLa2Se3 structure from Alexandria. Energies are from PBE.

Cell and atoms, written as POSCAR:
```
CaLa2Se3
1.0
4.2457 0.0000 0.0000
0.0000 6.0586 0.0000
0.0000 0.0000 12.9578
Ca La Se
2 4 6
Direct
0.0000 0.0000 0.0000
0.5000 0.5000 0.5000
0.0000 0.0000 0.3324
0.0000 0.0000 0.6676
0.5000 0.5000 0.1676
0.5000 0.5000 0.8324
0.0000 0.5000 0.0000
0.0000 0.5000 0.3403
0.0000 0.5000 0.6597
0.5000 0.0000 0.1597
0.5000 0.0000 0.5000
0.5000 0.0000 0.8403
```

Output
**Uncorrected formation energy**: -1977 meV per atom
**Total magnetization**: 0.00 μB/cell

---

Entry 12:
Here is a geometry-optimized Tc4Pt structure from Alexandria. Energies are from PBE.

Cell and atoms, written as POSCAR:
```
Tc4Pt
1.0
5.7421 0.0000 0.0000
0.0000 5.7421 0.0000
0.0000 0.0000 5.7421
Tc Pt
8 2
Direct
0.2500 0.2500 0.2500
0.2500 0.2500 0.7500
0.2500 0.7500 0.2500
0.2500 0.7500 0.7500
0.7500 0.2500 0.2500
0.7500 0.2500 0.7500
0.7500 0.7500 0.2500
0.7500 0.7500 0.7500
0.0000 0.0000 0.0000
0.5000 0.5000 0.5000
```

Output
**Total magnetization**: 0.00 μB/cell
**Energy of formation**: 1.573 eV/atom

---

Entry 13:
Here is a geometry-optimized RbNa2LiF4 structure from Alexandria. Energies are from PBE.

Cell and atoms, written as POSCAR:
```
RbNa2LiF4
1.0
1.7223 -5.8824 0.0000
1.7223 5.8824 0.0000
0.0000 0.0000 11.5657
Rb Na Li F
2 4 2 8
Direct
0.1047 0.8953 0.7500
0.8953 0.1047 0.2500
0.3658 0.6342 0.5439
0.3658 0.6342 0.9561
0.6342 0.3658 0.0439
0.6342 0.3658 0.4561
0.1644 0.8356 0.2500
0.8356 0.1644 0.7500
0.0000 0.0000 0.0000
0.0000 0.0000 0.5000
0.2531 0.7469 0.1172
0.2531 0.7469 0.3828
0.4120 0.5880 0.7500
0.5880 0.4120 0.2500
0.7469 0.2531 0.6172
0.7469 0.2531 0.8828
```

Output
**Uncorrected formation energy**: -2748 meV per atom
**Total magnetization**: 0.35 μB/cell

---

Entry 14:
Here is a geometry-optimized MnReRh2 structure from Alexandria. Energies are from PBE.

Cell and atoms, written as POSCAR:
```
MnReRh2
1.0
3.7371 0.0000 0.0000
0.0000 3.7371 0.0000
0.0000 0.0000 17.4302
Mn Re Rh
4 4 8
Direct
0.0000 0.0000 0.0000
0.0000 0.5000 0.2500
0.5000 0.0000 0.7500
0.5000 0.5000 0.5000
0.0000 0.0000 0.5000
0.0000 0.5000 0.7500
0.5000 0.0000 0.2500
0.5000 0.5000 0.0000
0.2409 0.2500 0.1250
0.2500 0.7409 0.3750
0.2500 0.7591 0.8750
0.2591 0.2500 0.6250
0.7409 0.7500 0.6250
0.7500 0.2409 0.8750
0.7500 0.2591 0.3750
0.7591 0.7500 0.1250
```

Output
**Total magnetization**: 10.63 μB/cell
**Energy of formation**: 0.466 eV/atom

---

Entry 15:
Here is a geometry-optimized CeNbOs4 structure from Alexandria. Energies are from PBE.

Cell and atoms, written as POSCAR:
```
CeNbOs4
1.0
0.0000 3.7427 3.7427
3.7427 0.0000 3.7427
3.7427 3.7427 0.0000
Ce Nb Os
1 1 4
Direct
0.0000 0.0000 0.0000
0.2500 0.2500 0.2500
0.1249 0.6250 0.6250
0.6250 0.1249 0.6250
0.6250 0.6250 0.1249
0.6250 0.6250 0.6250
```

Output
**Total magnetization**: 0.00 μB/cell
**Energy of formation**: 0.004 eV/atom

---

Entry 16:
Here is a geometry-optimized Mg6SeS5 structure from Alexandria. Energies are from PBE.

Cell and atoms, written as POSCAR:
```
Mg6SeS5
1.0
3.2307 -5.6002 0.0000
3.2307 5.6002 0.0000
-2.1563 0.0000 6.0885
Mg Se S
6 1 5
Direct
0.0736 0.4158 0.7474
0.2424 0.2424 0.2537
0.4158 0.0736 0.7474
0.5842 0.9264 0.2526
0.7576 0.7576 0.7463
0.9264 0.5842 0.2526
0.5000 0.5000 0.0000
0.0000 0.0000 0.5000
0.1664 0.8336 0.0000
0.3335 0.6665 0.5000
0.6665 0.3335 0.5000
0.8336 0.1664 0.0000
```

Output
**Uncorrected formation energy**: -1394 meV per atom
**Total magnetization**: 0.00 μB/cell

---

Entry 17:
Here is a geometry-optimized Cs3Dy3PaS8 structure from Alexandria. Energies are from PBE.

Cell and atoms, written as POSCAR:
```
Cs3Dy3PaS8
1.0
4.0711 2.3504 8.2068
-4.0711 2.3504 8.2068
0.0000 -4.7009 8.2068
Cs Dy Pa S
3 3 1 8
Direct
0.0000 0.5000 0.5000
0.5000 0.0000 0.5000
0.5000 0.5000 0.0000
0.0000 0.0000 0.5000
0.0000 0.5000 0.0000
0.5000 0.0000 0.0000
0.5000 0.5000 0.5000
0.2264 0.2264 0.2264
0.2292 0.7241 0.7241
0.2759 0.2759 0.7708
0.2759 0.7708 0.2759
0.7241 0.2292 0.7241
0.7241 0.7241 0.2292
0.7708 0.2759 0.2759
0.7736 0.7736 0.7736
```

Output
**Uncorrected formation energy**: -1815 meV per atom
**Total magnetization**: 1.01 μB/cell

---

Entry 18:
Here is a geometry-optimized ErSc3Tl4 structure from Alexandria. Energies are from PBE.

Cell and atoms, written as POSCAR:
```
ErSc3Tl4
1.0
10.3778 0.0000 0.0000
0.0000 7.2209 0.0000
0.0000 0.0000 5.1880
Er Sc Tl
2 6 8
Direct
0.0000 0.0000 0.0000
0.5000 0.0000 0.0000
0.0000 0.5000 0.0000
0.2500 0.0000 0.4990
0.2500 0.5000 0.4992
0.5000 0.5000 0.0000
0.7500 0.0000 0.5010
0.7500 0.5000 0.5008
0.0000 0.2565 0.5000
0.0000 0.7435 0.5000
0.2500 0.2565 0.9990
0.2500 0.7435 0.9990
0.5000 0.2565 0.5000
0.5000 0.7435 0.5000
0.7500 0.2565 0.0010
0.7500 0.7435 0.0010
```

Output
**Total magnetization**: 0.00 μB/cell
**Energy of formation**: -0.263 eV/atom

---

Entry 19:
Here is a geometry-optimized LiIn2Pt6 structure from Alexandria. Energies are from PBE.

Cell and atoms, written as POSCAR:
```
LiIn2Pt6
1.0
7.0493 -3.8527 0.0000
7.0493 3.8527 0.0000
-0.5802 0.0000 2.8368
Li In Pt
1 2 6
Direct
0.0000 0.0000 0.0000
0.3407 0.3407 0.3433
0.6593 0.6593 0.6567
0.0288 0.6409 0.8369
0.2709 0.7291 0.5000
0.3591 0.9712 0.1631
0.6409 0.0288 0.8369
0.7291 0.2709 0.5000
0.9712 0.3591 0.1631
```

Output
**Total magnetization**: 0.00 μB/cell
**Energy of formation**: -0.258 eV/atom

---

Entry 20:
Here is a geometry-optimized PmPrZnCd structure from Alexandria. Energies are from PBE.

Cell and atoms, written as POSCAR:
```
PmPrZnCd
1.0
3.7390 0.0000 0.0000
0.0000 3.7390 0.0000
0.0000 0.0000 7.6633
Pm Pr Zn Cd
1 1 1 1
Direct
0.0000 0.0000 0.0000
0.0000 0.0000 0.5392
0.5000 0.5000 0.7771
0.5000 0.5000 0.2631
```

Output
**Total magnetization**: 0.00 μB/cell
**Energy of formation**: -0.319 eV/atom

---

Entry 21:
Here is a geometry-optimized K4PrU3S8 structure from Alexandria. Energies are from PBE.

Cell and atoms, written as POSCAR:
```
K4PrU3S8
1.0
4.0911 2.3620 7.4312
-4.0911 2.3620 7.4312
0.0000 -4.7240 7.4312
K Pr U S
4 1 3 8
Direct
0.0000 0.0000 0.0000
0.0000 0.5000 0.5000
0.5000 0.0000 0.5000
0.5000 0.5000 0.0000
0.5000 0.5000 0.5000
0.0000 0.0000 0.5000
0.0000 0.5000 0.0000
0.5000 0.0000 0.0000
0.2260 0.7404 0.7404
0.2338 0.2338 0.2338
0.2596 0.2596 0.7740
0.2596 0.7740 0.2596
0.7404 0.2260 0.7404
0.7404 0.7404 0.2260
0.7662 0.7662 0.7662
0.7740 0.2596 0.2596
```

Output
**Uncorrected formation energy**: -1488 meV per atom
**Total magnetization**: 9.01 μB/cell

---

Entry 22:
Here is a geometry-optimized ThNbReSi2 structure from Alexandria. Energies are from PBE.

Cell and atoms, written as POSCAR:
```
ThNbReSi2
1.0
4.0942 0.0000 0.0000
0.0000 4.0942 0.0000
0.0000 0.0000 11.1650
Th Nb Re Si
2 2 2 4
Direct
0.0000 0.0000 0.0000
0.5000 0.5000 0.5000
0.0000 0.5000 0.2500
0.5000 0.0000 0.7500
0.0000 0.5000 0.7500
0.5000 0.0000 0.2500
0.0000 0.0000 0.3892
0.0000 0.0000 0.6108
0.5000 0.5000 0.1108
0.5000 0.5000 0.8892
```

Output
**Uncorrected formation energy**: -564 meV per atom
**Total magnetization**: 0.00 μB/cell